A plane-wave DFT calculation with PBE+U was carried out for a geometry-optimized FeGeO3 structure.

* DFT total energy: -6.61 eV per atom
* magnetization: 0.80 μB per atom

a = 9.8911 Å, b = 9.1810 Å, c = 5.3014 Å
α = 90.00°, β = 100.74°, γ = 90.00°
Last column: nearest neighbours and their distance in Å.
Space group C2/c (No. 15)
Symmetry-distinct sites (fractional):
Fe1 0.0000 0.0920 0.2500  6 O 2.11-2.21
Fe2 0.0000 0.2754 0.7500  6 O 2.10-2.28
Ge1 0.2005 0.4061 0.2869  4 O 1.73-1.83
O1 0.1179 0.0934 0.6383  1 Ge 1.77
O2 0.1178 0.2587 0.1227  1 Ge 1.73
O3 0.1420 0.4330 0.5921  2 Ge 1.83